Model A:
A geometry-optimized YCd2Hg2 structure. Source: Alexandria via LeMat-Bulk, functional GGA-PBE.

Cell and atoms, written as POSCAR:
```
YCd2Hg2
1.0
-2.1519 2.1519 6.6721
2.1519 -2.1519 6.6721
2.1519 2.1519 -6.6721
Y Cd Hg
1 2 2
Direct
0.0000 0.0000 0.0000 Y
0.2500 0.7500 0.5000 Cd
0.7500 0.2500 0.5000 Cd
0.3964 0.3964 0.0000 Hg
0.6036 0.6036 0.0000 Hg
```

ρ in g cm⁻³: 9.61
Space-group type: I4/mmm


Model B:
A geometry-optimized YCd2Hg2 structure. Source: Alexandria via LeMat-Bulk, functional GGA-PBE.

Cell and atoms, written as POSCAR:
```
YCd2Hg2
1.0
8.2037 0.0000 0.0000
0.0000 8.2037 0.0000
0.0000 0.0000 3.6846
Y Cd Hg
2 4 4
Direct
0.0000 0.0000 0.0000 Y
0.5000 0.5000 0.0000 Y
0.1229 0.3771 0.0000 Cd
0.3771 0.8771 0.0000 Cd
0.6229 0.1229 0.0000 Cd
0.8771 0.6229 0.0000 Cd
0.1809 0.6809 0.5000 Hg
0.3191 0.1809 0.5000 Hg
0.6809 0.8191 0.5000 Hg
0.8191 0.3191 0.5000 Hg
```

ρ in g cm⁻³: 9.57
Space-group type: P4/mbm


Model C:
A geometry-optimized YCd2Hg2 structure. Source: Alexandria via LeMat-Bulk, functional GGA-PBE.

Cell and atoms, written as POSCAR:
```
YCd2Hg2
1.0
5.1092 0.0000 0.0000
0.0000 3.4857 0.0000
-0.0096 0.0000 13.4971
Y Cd Hg
2 4 4
Direct
0.2495 0.2500 0.2528 Y
0.7505 0.7500 0.7472 Y
0.2501 0.7500 0.4640 Cd
0.2509 0.2500 0.8581 Cd
0.7491 0.7500 0.1419 Cd
0.7499 0.2500 0.5360 Cd
0.2492 0.7500 0.0473 Hg
0.2501 0.2500 0.6496 Hg
0.7499 0.7500 0.3504 Hg
0.7508 0.2500 0.9527 Hg
```

ρ in g cm⁻³: 9.88
Space-group type: P2_1/m


Model D:
A geometry-optimized YCd2Hg2 structure. Source: Alexandria via LeMat-Bulk, functional GGA-PBE.

Cell and atoms, written as POSCAR:
```
YCd2Hg2
1.0
8.1273 0.0000 0.0000
0.0000 8.1273 0.0000
0.0000 0.0000 3.8041
Y Cd Hg
2 4 4
Direct
0.0000 0.0000 0.0000 Y
0.5000 0.5000 0.0000 Y
0.1698 0.3302 0.5000 Cd
0.3302 0.8302 0.5000 Cd
0.6698 0.1698 0.5000 Cd
0.8302 0.6698 0.5000 Cd
0.1321 0.6321 0.0000 Hg
0.3679 0.1321 0.0000 Hg
0.6321 0.8679 0.0000 Hg
0.8679 0.3679 0.0000 Hg
```

ρ in g cm⁻³: 9.45
Space-group type: P4/mbm


Ranked by calculated energy, most stable first: model C, model A, model D, model B.